A.
# Ga2Ge2Au PBE relaxed
data_Ga2Ge2Au
_cell_length_a 6.8494
_cell_length_b 6.8494
_cell_length_c 4.3062
_cell_angle_alpha 90.00
_cell_angle_beta 90.00
_cell_angle_gamma 90.00
_symmetry_space_group_name_H-M 'P 4/m b m'
_symmetry_Int_Tables_number 127
_symmetry_space_group_name_Hall '-P 4 2ab'
loop_
_atom_site_label
_atom_site_type_symbol
_atom_site_fract_x
_atom_site_fract_y
_atom_site_fract_z
Ga1 Ga 0.1689 0.3311 0.0000
Ge1 Ge 0.1388 0.6388 0.5000
Au1 Au 0.0000 0.0000 0.5000
# **DOS(E_F)**: 0.409 states/eV/atom
# **M_tot**: 0.00 μB/cell

***

B.
# Ga2Ge2Au PBE relaxed
data_Ga2Ge2Au
_cell_length_a 3.7267
_cell_length_b 3.7267
_cell_length_c 14.3857
_cell_angle_alpha 90.00
_cell_angle_beta 90.00
_cell_angle_gamma 90.00
_symmetry_space_group_name_H-M 'I 4/m m m'
_symmetry_Int_Tables_number 139
_symmetry_space_group_name_Hall '-I 4 2'
loop_
_atom_site_label
_atom_site_type_symbol
_atom_site_fract_x
_atom_site_fract_y
_atom_site_fract_z
Ga1 Ga 0.0000 0.0000 0.0941
Ge1 Ge 0.0000 0.5000 0.2500
Au1 Au 0.0000 0.0000 0.5000
# **DOS(E_F)**: 0.396 states/eV/atom
# **M_tot**: 0.00 μB/cell

***

Which of them is most stable? Easy: A.

***

A.
# GaH2Au PBE relaxed
data_GaH2Au
_cell_length_a 5.1270
_cell_length_b 5.1270
_cell_length_c 8.2934
_cell_angle_alpha 90.00
_cell_angle_beta 90.00
_cell_angle_gamma 90.00
_symmetry_space_group_name_H-M 'I -4 2 d'
_symmetry_Int_Tables_number 122
_symmetry_space_group_name_Hall 'I -4 2bw'
loop_
_atom_site_label
_atom_site_type_symbol
_atom_site_fract_x
_atom_site_fract_y
_atom_site_fract_z
Ga1 Ga 0.0000 0.0000 0.0000
H1 H 0.1430 0.2500 0.6250
Au1 Au 0.0000 0.0000 0.5000
# **DOS(E_F)**: 0.075 states/eV/atom
# **M_tot**: 0.00 μB/cell

***

B.
# GaH2Au PBE relaxed
data_GaH2Au
_cell_length_a 5.6645
_cell_length_b 5.6645
_cell_length_c 5.6645
_cell_angle_alpha 90.00
_cell_angle_beta 90.00
_cell_angle_gamma 90.00
_symmetry_space_group_name_H-M 'F m -3 m'
_symmetry_Int_Tables_number 225
_symmetry_space_group_name_Hall '-F 4 2 3'
loop_
_atom_site_label
_atom_site_type_symbol
_atom_site_fract_x
_atom_site_fract_y
_atom_site_fract_z
Ga1 Ga 0.0000 0.0000 0.0000
H1 H 0.2500 0.2500 0.2500
Au1 Au 0.0000 0.0000 0.5000
# **DOS(E_F)**: 0.482 states/eV/atom
# **M_tot**: 0.00 μB/cell

***

Which of them is most stable? Easy: A.

***

A.
# GaNi2HAu PBE relaxed
data_GaNi2HAu
_cell_length_a 3.7418
_cell_length_b 3.7418
_cell_length_c 4.0201
_cell_angle_alpha 90.00
_cell_angle_beta 90.00
_cell_angle_gamma 90.00
_symmetry_space_group_name_H-M 'P 4/m m m'
_symmetry_Int_Tables_number 123
_symmetry_space_group_name_Hall '-P 4 2'
loop_
_atom_site_label
_atom_site_type_symbol
_atom_site_fract_x
_atom_site_fract_y
_atom_site_fract_z
Ga1 Ga 0.0000 0.0000 0.0000
Ni1 Ni 0.0000 0.5000 0.5000
H1 H 0.0000 0.0000 0.5000
Au1 Au 0.5000 0.5000 0.0000
# **DOS(E_F)**: 0.413 states/eV/atom
# **M_tot**: 0.00 μB/cell

***

B.
# GaNi2HAu PBE relaxed
data_GaNi2HAu
_cell_length_a 3.7929
_cell_length_b 3.7929
_cell_length_c 3.9513
_cell_angle_alpha 90.00
_cell_angle_beta 90.00
_cell_angle_gamma 90.00
_symmetry_space_group_name_H-M 'P 4/m m m'
_symmetry_Int_Tables_number 123
_symmetry_space_group_name_Hall '-P 4 2'
loop_
_atom_site_label
_atom_site_type_symbol
_atom_site_fract_x
_atom_site_fract_y
_atom_site_fract_z
Ga1 Ga 0.0000 0.0000 0.0000
Ni1 Ni 0.0000 0.5000 0.5000
H1 H 0.5000 0.5000 0.5000
Au1 Au 0.5000 0.5000 0.0000
# **DOS(E_F)**: 0.506 states/eV/atom
# **M_tot**: 0.00 μB/cell

***

Which of them is most stable? Easy: B.

***

A.
# GaHPd2Au PBE relaxed
data_GaHPd2Au
_cell_length_a 3.9557
_cell_length_b 3.9557
_cell_length_c 4.2556
_cell_angle_alpha 90.00
_cell_angle_beta 90.00
_cell_angle_gamma 90.00
_symmetry_space_group_name_H-M 'P 4/m m m'
_symmetry_Int_Tables_number 123
_symmetry_space_group_name_Hall '-P 4 2'
loop_
_atom_site_label
_atom_site_type_symbol
_atom_site_fract_x
_atom_site_fract_y
_atom_site_fract_z
Ga1 Ga 0.0000 0.0000 0.0000
H1 H 0.0000 0.0000 0.5000
Pd1 Pd 0.0000 0.5000 0.5000
Au1 Au 0.5000 0.5000 0.0000
# **DOS(E_F)**: 0.265 states/eV/atom
# **M_tot**: 0.00 μB/cell

***

B.
# GaHPd2Au PBE relaxed
data_GaHPd2Au
_cell_length_a 4.0171
_cell_length_b 4.0171
_cell_length_c 4.1327
_cell_angle_alpha 90.00
_cell_angle_beta 90.00
_cell_angle_gamma 90.00
_symmetry_space_group_name_H-M 'P 4/m m m'
_symmetry_Int_Tables_number 123
_symmetry_space_group_name_Hall '-P 4 2'
loop_
_atom_site_label
_atom_site_type_symbol
_atom_site_fract_x
_atom_site_fract_y
_atom_site_fract_z
Ga1 Ga 0.0000 0.0000 0.0000
H1 H 0.5000 0.5000 0.5000
Pd1 Pd 0.0000 0.5000 0.5000
Au1 Au 0.5000 0.5000 0.0000
# **DOS(E_F)**: 0.370 states/eV/atom
# **M_tot**: 0.00 μB/cell

***

Which of them is most stable? Easy: B.

***

A.
# GaSiHAuS PBE relaxed
data_GaSiHAuS
_cell_length_a 10.2894
_cell_length_b 3.2023
_cell_length_c 5.6491
_cell_angle_alpha 90.00
_cell_angle_beta 109.85
_cell_angle_gamma 90.00
_symmetry_space_group_name_H-M 'C 1 m 1'
_symmetry_Int_Tables_number 8
loop_
_symmetry_equiv_pos_as_xyz
'x,y,z'
'x,-y,z'
'x+1/2,y+1/2,z'
'x+1/2,-y+1/2,z'
loop_
_atom_site_label
_atom_site_type_symbol
_atom_site_fract_x
_atom_site_fract_y
_atom_site_fract_z
Ga1 Ga 0.0000 0.0000 0.0000
Si1 Si 0.2149 0.0000 0.6495
H1 H 0.0729 0.0000 0.4496
Au1 Au 0.2210 0.5000 0.0017
S1 S 0.3174 0.5000 0.4933
# **DOS(E_F)**: 0.109 states/eV/atom
# **M_tot**: 0.00 μB/cell

***

B.
# GaSiHAuS PBE relaxed
data_GaSiHAuS
_cell_length_a 3.3701
_cell_length_b 4.9063
_cell_length_c 5.1710
_cell_angle_alpha 90.00
_cell_angle_beta 93.85
_cell_angle_gamma 90.00
_symmetry_space_group_name_H-M 'P 1 m 1'
_symmetry_Int_Tables_number 6
loop_
_symmetry_equiv_pos_as_xyz
'x,y,z'
'x,-y,z'
loop_
_atom_site_label
_atom_site_type_symbol
_atom_site_fract_x
_atom_site_fract_y
_atom_site_fract_z
Ga1 Ga 0.0000 0.0000 0.0000
Si1 Si 0.4482 0.5000 0.5000
H1 H 0.3807 0.0000 0.2689
Au1 Au 0.4700 0.0000 0.6105
S1 S 0.9164 0.5000 0.2028
# **DOS(E_F)**: 0.271 states/eV/atom
# **M_tot**: 0.00 μB/cell

***

Which of them is most stable? Easy: A.

***

A.
# GaSiHAuS PBE relaxed
data_GaSiHAuS
_cell_length_a 3.9419
_cell_length_b 4.7621
_cell_length_c 4.9483
_cell_angle_alpha 72.49
_cell_angle_beta 84.71
_cell_angle_gamma 85.06
_symmetry_space_group_name_H-M 'P 1'
_symmetry_Int_Tables_number 1
loop_
_symmetry_equiv_pos_as_xyz
'x,y,z'
loop_
_atom_site_label
_atom_site_type_symbol
_atom_site_fract_x
_atom_site_fract_y
_atom_site_fract_z
Ga1 Ga 0.0000 0.0000 0.0000
Si1 Si 0.3065 0.5806 0.8499
H1 H 0.7419 0.7823 0.2689
Au1 Au 0.8293 0.4725 0.5924
S1 S 0.2745 0.2538 0.2688
# **DOS(E_F)**: 0.254 states/eV/atom
# **M_tot**: 0.00 μB/cell

***

B.
# GaSiHAuS PBE relaxed
data_GaSiHAuS
_cell_length_a 3.0624
_cell_length_b 5.1540
_cell_length_c 5.2225
_cell_angle_alpha 90.00
_cell_angle_beta 106.74
_cell_angle_gamma 90.00
_symmetry_space_group_name_H-M 'P 1 m 1'
_symmetry_Int_Tables_number 6
loop_
_symmetry_equiv_pos_as_xyz
'x,y,z'
'x,-y,z'
loop_
_atom_site_label
_atom_site_type_symbol
_atom_site_fract_x
_atom_site_fract_y
_atom_site_fract_z
Ga1 Ga 0.0000 0.0000 0.0000
Si1 Si 0.7331 0.5000 0.4099
H1 H 0.3201 0.5000 0.6022
Au1 Au 0.7512 0.0000 0.4684
S1 S 0.0681 0.5000 0.0750
# **DOS(E_F)**: 0.331 states/eV/atom
# **M_tot**: 0.00 μB/cell

***

C.
# GaSiHAuS PBE relaxed
data_GaSiHAuS
_cell_length_a 9.7585
_cell_length_b 3.2907
_cell_length_c 6.9602
_cell_angle_alpha 90.00
_cell_angle_beta 119.94
_cell_angle_gamma 90.00
_symmetry_space_group_name_H-M 'C 1 m 1'
_symmetry_Int_Tables_number 8
loop_
_symmetry_equiv_pos_as_xyz
'x,y,z'
'x,-y,z'
'x+1/2,y+1/2,z'
'x+1/2,-y+1/2,z'
loop_
_atom_site_label
_atom_site_type_symbol
_atom_site_fract_x
_atom_site_fract_y
_atom_site_fract_z
Ga1 Ga 0.0000 0.0000 0.0000
Si1 Si 0.4010 0.5000 0.2603
H1 H 0.2989 0.5000 0.7909
Au1 Au 0.1586 0.5000 0.8988
S1 S 0.4134 0.0000 0.4767
# **DOS(E_F)**: 0.129 states/eV/atom
# **M_tot**: 0.00 μB/cell

***

D.
# GaSiHAuS PBE relaxed
data_GaSiHAuS
_cell_length_a 3.9233
_cell_length_b 4.6558
_cell_length_c 5.3638
_cell_angle_alpha 77.39
_cell_angle_beta 78.17
_cell_angle_gamma 79.81
_symmetry_space_group_name_H-M 'P 1'
_symmetry_Int_Tables_number 1
loop_
_symmetry_equiv_pos_as_xyz
'x,y,z'
loop_
_atom_site_label
_atom_site_type_symbol
_atom_site_fract_x
_atom_site_fract_y
_atom_site_fract_z
Ga1 Ga 0.0000 0.0000 0.0000
Si1 Si 0.4610 0.3947 0.4057
H1 H 0.3041 0.6616 0.5479
Au1 Au 0.0019 0.0866 0.4861
S1 S 0.5593 0.6211 0.0100
# **DOS(E_F)**: 0.183 states/eV/atom
# **M_tot**: 0.00 μB/cell

***

Which of them is most stable? Easy: D.